The following is a DFT calculation (GGA-PBEsol) of a relaxed Al2CdGe2 crystal.

abc: 4.082 4.082 6.634
angles: 107.92 107.92 90.00
Element x y z (fractional)
Ge 0.250 0.750 0.500
Ge 0.750 0.250 0.500
Al 0.392 0.392 0.785
Al 0.608 0.608 0.215
Cd 0.000 0.000 0.000

Calculated values
Energy of formation   0.191 eV/atom
Spin magnetization   0.00 μB/atom
Symmetry   No. 139
Electronic total energy   -3.661 eV/atom
ρ   5.2 g/cm3

---

The following is a DFT calculation (GGA-PBEsol) of a relaxed Ta2AuCl crystal.

abc: 2.898 2.898 8.809
angles: 90.00 90.00 90.00
Element x y z (fractional)
Cl 0.500 0.500 0.805
Au 0.000 0.000 0.462
Ta 0.000 0.000 0.992
Ta 0.500 0.500 0.241

Calculated values
Polymorph energy (0 for the lowest one)   0.000 eV/atom
Spin magnetization   0.00 μB/atom
Symmetry   No. 99
Electronic total energy   -7.897 eV/atom
ρ   13.3 g/cm3
Raw formation energy   -0.139 eV/atom